# 1
Crystalline BaSrCdIr at its relaxed geometry, computed with GGA-PBE.

Values from the calculation:
The value obtained for the relative energy among the computed polymorphs is 141 meV per atom. The calculation puts the energy of formation from the pure elements at -0.074 eV per atom.

Cell: 5.1825 3.7539 13.1720 Å, 90.00 90.00 90.00°
Atoms (fractional coordinates):
Ba1 0.5000 0.0000 0.0015
Ir1 0.0000 0.0000 0.6992
Ba2 0.0000 0.5000 0.5015
Cd1 0.5000 0.0000 0.3581
Cd2 0.0000 0.5000 0.8581
Sr1 0.5000 0.5000 0.7015
Ir2 0.5000 0.5000 0.1992
Sr2 0.0000 0.0000 0.2015

# 2
Crystalline CaP2O2 at its relaxed geometry, computed with GGA-PBE.

Values from the calculation:
The value obtained for the relative energy among the computed polymorphs is 461 meV per atom. The calculation puts the formation energy from raw total energies at -0.406 eV/atom.

Cell: 3.6900 3.6900 6.0942 Å, 90.00 90.00 90.00°
Atoms (fractional coordinates):
P1 0.0000 0.5000 0.0000
O1 0.0000 0.0000 0.0000
O2 0.0000 0.0000 0.5000
P2 0.5000 0.0000 0.0000
Ca1 0.5000 0.5000 0.5000

# 3
Crystalline La3TcF at its relaxed geometry, computed with GGA-PBE.

Values from the calculation:
The value obtained for the relative energy among the computed polymorphs is 0 meV per atom. The calculation puts the formation energy from raw total energies at -0.636 eV/atom.

Cell: 4.9759 4.9759 4.9759 Å, 90.00 90.00 90.00°
Atoms (fractional coordinates):
La1 0.0000 0.5000 0.0000
Tc1 0.5000 0.5000 0.5000
F1 0.0000 0.0000 0.0000
La2 0.5000 0.0000 0.0000
La3 0.0000 0.0000 0.5000

# 4
Crystalline Nd6Tc2Sn at its relaxed geometry, computed with GGA-PBE.

Values from the calculation:
The calculation puts the energy of formation from the pure elements at -0.150 eV per atom.

Cell: 8.8124 8.8124 8.8124 Å, 104.29 112.27 111.97°
Atoms (fractional coordinates):
Nd1 0.5259 0.7186 0.8073
Nd2 0.2974 0.9817 0.6843
Tc1 0.5000 0.6106 0.1106
Nd3 0.7884 0.2376 0.0260
Nd4 0.0886 0.2814 0.8073
Nd5 0.9114 0.7186 0.1927
Tc2 0.3746 0.0000 0.3746
Nd6 0.7884 0.7624 0.5508
Tc3 0.6254 0.0000 0.6254
Nd7 0.7026 0.0183 0.3157
Nd8 0.2116 0.7624 0.9740
Tc4 0.5000 0.3894 0.8894
Nd9 0.4741 0.2814 0.1927
Sn1 0.0000 0.5000 0.5000
Nd10 0.2974 0.6130 0.3157
Nd11 0.2116 0.2376 0.4492
Sn2 0.0000 0.0000 0.0000
Nd12 0.7026 0.3870 0.6843

# 5
Crystalline LaTlSb2 at its relaxed geometry, computed with GGA-PBE.

Values from the calculation:
The value obtained for the relative energy among the computed polymorphs is 74 meV per atom. The calculation puts the formation energy from raw total energies at -0.534 eV/atom.

Cell: 6.3489 6.3489 6.3489 Å, 137.13 137.13 62.24°
Atoms (fractional coordinates):
Sb1 0.0000 0.0000 0.0000
Sb2 0.2500 0.7500 0.5000
La1 0.7500 0.2500 0.5000
Tl1 0.5000 0.5000 0.0000

# 6
Crystalline SrBr2O6 at its relaxed geometry, computed with GGA-PBE.

Values from the calculation:
The value obtained for the relative energy among the computed polymorphs is 329 meV per atom. The calculation puts the formation energy from raw total energies at -0.344 eV/atom.

Cell: 5.6934 5.6934 4.4777 Å, 85.62 85.62 73.53°
Atoms (fractional coordinates):
Br1 0.2804 0.4213 0.3100
O1 0.5785 0.4215 0.0000
O2 0.7453 0.9130 0.5170
Sr1 0.9460 0.0540 0.0000
Br2 0.5787 0.7196 0.6900
O3 0.2659 0.7341 0.5000
O4 0.0841 0.5660 0.0523
O5 0.4340 0.9159 0.9477
O6 0.0870 0.2547 0.4830